Density functional theory data (PBE) for a geometry-optimized Pr2ZnGe3Au4 structure.

The total magnetization is 0.000 μB per formula unit. As for the formation enthalpy at 0 K: -5.80 eV/f.u.

The structure belongs to space group P-4m2 (No. 115); the cell edges are 4.3933, 4.3933 and 10.8738 Å and the angles 90.00°, 90.00° and 90.00°. Symmetry generates all atoms from Pr at (0.0000, 0.5000, 0.2413), Zn at (0.0000, 0.0000, 0.5000), Ge at (0.0000, 0.5000, 0.8617), Ge at (0.5000, 0.5000, 0.5000), Au at (0.0000, 0.0000, 0.0000), Au at (0.0000, 0.5000, 0.6309) and Au at (0.5000, 0.5000, 0.0000).